(1)
This record from Alexandria describes Be2FeTe after structural relaxation. The functional is GGA-PBE.

Values from the calculation:
Raw total energy, eV/atom: -4.2858
Magnetization, μB per cell: 0.0
Formation energy (no corrections), eV per atom: 0.478

Cell lengths 3.6668, 3.6699, 7.3670 Å; angles 90.00, 90.00, 90.00 degrees
With the nearest neighbours (Å) after each atom.
Fractional positions:
Be1 0.0000 0.0000 0.0000  4 Be 2.59-2.61, 4 Te 2.59, 4 Fe 2.59-2.60
Be2 0.0000 0.5000 0.2513  4 Be 2.59-2.61, 4 Fe 2.59, 4 Te 2.60
Be3 0.5000 0.0000 0.7513  4 Be 2.59-2.61, 4 Fe 2.59, 4 Te 2.60
Be4 0.5000 0.5000 0.5000  4 Be 2.59-2.61, 4 Te 2.59, 4 Fe 2.59-2.60
Fe1 0.0000 0.5000 0.7511  8 Be 2.59-2.60, 4 Te 2.60
Fe2 0.5000 0.0000 0.2511  8 Be 2.59-2.60, 4 Te 2.60
Te1 0.0000 0.0000 0.5011  8 Be 2.59-2.60, 4 Fe 2.60
Te2 0.5000 0.5000 0.0011  8 Be 2.59-2.60, 4 Fe 2.60

=====

(2)
This record from Alexandria describes LaZnGaO2 after structural relaxation. The functional is GGA-PBE.

Values from the calculation:
Raw total energy, eV/atom: -4.7626
Magnetization, μB per cell: 0.0
Formation energy (no corrections), eV per atom: -0.934

Cell lengths 4.2631, 4.2631, 4.5558 Å; angles 90.00, 90.00, 90.00 degrees
With the nearest neighbours (Å) after each atom.
Fractional positions:
La1 0.0000 0.0000 0.0000  4 Zn 3.01, 8 O 3.12
Zn1 0.5000 0.5000 0.0000  2 Ga 2.28
Ga1 0.5000 0.5000 0.5000  4 O 2.13, 2 Zn 2.28
O1 0.0000 0.5000 0.5000  2 Ga 2.13
O2 0.5000 0.0000 0.5000  2 Ga 2.13

=====

(3)
This record from Alexandria describes SrCdPb2O4 after structural relaxation. The functional is GGA-PBE.

Values from the calculation:
Raw total energy, eV/atom: -5.1178
Magnetization, μB per cell: 0.0
Formation energy (no corrections), eV per atom: -1.387

Cell lengths 7.2640, 7.2640, 7.2640 Å; angles 120.10, 120.00, 89.92 degrees
With the nearest neighbours (Å) after each atom.
Fractional positions:
Sr1 0.0000 0.0000 0.0000  6 O 2.52-2.54
Sr2 0.5000 0.0000 0.5000  6 O 2.52-2.54
Cd1 0.5000 0.0000 0.0000  6 O 2.48-2.51
Cd2 0.5000 0.5000 0.5000  6 O 2.48-2.51
Pb1 0.0000 0.0000 0.5000  6 O 2.63-2.66
Pb2 0.0000 0.5000 0.0000  6 O 2.63-2.66
Pb3 0.0000 0.5000 0.5000  6 O 2.61
Pb4 0.5000 0.5000 0.0000  6 O 2.61
O1 0.2555 0.2471 0.4916  1 Cd 2.51, 2 Sr 2.52, 3 Pb 2.61-2.63
O2 0.2555 0.7639 0.0084  1 Cd 2.51, 2 Sr 2.52, 3 Pb 2.61-2.63
O3 0.2644 0.2466 0.0178  2 Cd 2.48, 1 Sr 2.54, 3 Pb 2.61-2.66
O4 0.2711 0.7534 0.5178  2 Cd 2.48, 1 Sr 2.54, 3 Pb 2.61-2.66
O5 0.7289 0.2466 0.4822  2 Cd 2.48, 1 Sr 2.54, 3 Pb 2.61-2.66
O6 0.7356 0.7534 0.9822  2 Cd 2.48, 1 Sr 2.54, 3 Pb 2.61-2.66
O7 0.7445 0.2361 0.9916  1 Cd 2.51, 2 Sr 2.52, 3 Pb 2.61-2.63
O8 0.7445 0.7529 0.5084  1 Cd 2.51, 2 Sr 2.52, 3 Pb 2.61-2.63

=====

(4)
This record from Alexandria describes BSeF after structural relaxation. The functional is GGA-PBE.

Values from the calculation:
Raw total energy, eV/atom: -4.4757
Magnetization, μB per cell: 0.0
Offset from the most stable computed form, meV/atom: 840
Formation energy (no corrections), eV per atom: -0.465

Cell lengths 12.6804, 2.5404, 6.1986 Å; angles 90.00, 93.58, 90.00 degrees
With the nearest neighbours (Å) after each atom.
Fractional positions:
B1 0.0660 0.0000 0.0412  2 F 1.68, 1 B 1.72
B2 0.4340 0.5000 0.9588  2 F 1.68, 1 B 1.72
B3 0.5659 0.5000 0.0412  2 F 1.68, 1 B 1.72
B4 0.9340 0.0000 0.9588  2 F 1.68, 1 B 1.72
Se1 0.1007 0.5000 0.3424  2 B 2.28, 2 Se 2.54
Se2 0.3993 0.0000 0.6576  2 B 2.28, 2 Se 2.54
Se3 0.6007 0.0000 0.3424  2 B 2.28, 2 Se 2.54
Se4 0.8993 0.5000 0.6576  2 B 2.28, 2 Se 2.54
F1 0.1243 0.5000 0.9168  2 B 1.68
F2 0.3757 0.0000 0.0832  2 B 1.68
F3 0.6243 0.0000 0.9168  2 B 1.68
F4 0.8757 0.5000 0.0832  2 B 1.68

=====

(5)
This record from Alexandria describes Dy2PuInC after structural relaxation. The functional is GGA-PBE.

Values from the calculation:
Raw total energy, eV/atom: -7.4248
Magnetization, μB per cell: 5.2
Energy of formation, meV per atom: -325

Cell lengths 4.9787, 4.9787, 4.7168 Å; angles 90.00, 90.00, 90.00 degrees
With the nearest neighbours (Å) after each atom.
Fractional positions:
Dy1 0.0000 0.5000 0.0000  2 C 2.49
Dy2 0.5000 0.0000 0.0000  2 C 2.49
Pu1 0.0000 0.0000 0.5000  2 C 2.36
In1 0.5000 0.5000 0.5000  8 Dy 3.43, 4 Pu 3.52
C1 0.0000 0.0000 0.0000  2 Pu 2.36, 4 Dy 2.49

=====

(6)
This record from Alexandria describes Rh5C after structural relaxation. The functional is GGA-PBE.

Values from the calculation:
Raw total energy, eV/atom: -6.1317
Magnetization, μB per cell: 0.1
Offset from the most stable computed form, meV/atom: 1290
Energy of formation, meV per atom: 1532

Cell lengths 4.9785, 4.9785, 4.4741 Å; angles 90.00, 90.00, 120.00 degrees
With the nearest neighbours (Å) after each atom.
Fractional positions:
Rh1 0.0000 0.5000 0.0000  8 Rh 2.49-2.66
Rh2 0.3333 0.6667 0.5000  9 Rh 2.66-2.87, 3 C 2.87
Rh3 0.5000 0.0000 0.0000  8 Rh 2.49-2.66
Rh4 0.5000 0.5000 0.0000  8 Rh 2.49-2.66
Rh5 0.6667 0.3333 0.5000  9 Rh 2.66-2.87, 3 C 2.87
C1 0.0000 0.0000 0.5000  6 Rh 2.87

=====

(7)
This record from Alexandria describes Hf4InPb after structural relaxation. The functional is GGA-PBE.

Values from the calculation:
Raw total energy, eV/atom: -7.8091
Magnetization, μB per cell: 0.0
Offset from the most stable computed form, meV/atom: 0
Energy of formation, meV per atom: -99

Cell lengths 5.1779, 10.1833, 5.1876 Å; angles 90.00, 99.78, 90.00 degrees
With the nearest neighbours (Å) after each atom.
Fractional positions:
Hf1 0.0000 0.1669 0.0000  7 Hf 3.09-3.40, 3 Pb 3.10-3.39, 2 In 3.10
Hf2 0.0000 0.3319 0.5000  7 Hf 3.08-3.42, 3 In 3.10-3.38, 2 Pb 3.11
Hf3 0.0000 0.6681 0.5000  7 Hf 3.08-3.42, 3 In 3.10-3.38, 2 Pb 3.11
Hf4 0.0000 0.8331 0.0000  7 Hf 3.09-3.40, 3 Pb 3.10-3.39, 2 In 3.10
Hf5 0.5000 0.1681 0.5000  7 Hf 3.08-3.42, 3 In 3.10-3.38, 2 Pb 3.11
Hf6 0.5000 0.3331 0.0000  7 Hf 3.09-3.40, 3 Pb 3.10-3.39, 2 In 3.10
Hf7 0.5000 0.6669 0.0000  7 Hf 3.09-3.40, 3 Pb 3.10-3.39, 2 In 3.10
Hf8 0.5000 0.8319 0.5000  7 Hf 3.08-3.42, 3 In 3.10-3.38, 2 Pb 3.11
In1 0.0000 0.0000 0.5000  10 Hf 3.10-3.38, 2 Pb 3.34
In2 0.5000 0.5000 0.5000  10 Hf 3.10-3.38, 2 Pb 3.34
Pb1 0.0000 0.5000 0.0000  10 Hf 3.10-3.39, 2 In 3.34
Pb2 0.5000 0.0000 0.0000  10 Hf 3.10-3.39, 2 In 3.34

=====

(8)
This record from Alexandria describes Zr4ZnCu after structural relaxation. The functional is GGA-PBE.

Values from the calculation:
Raw total energy, eV/atom: -6.7288
Magnetization, μB per cell: 0.0
Offset from the most stable computed form, meV/atom: 2
Energy of formation, meV per atom: -135

Cell lengths 6.9152, 6.9152, 4.9642 Å; angles 90.00, 90.00, 90.00 degrees
With the nearest neighbours (Å) after each atom.
Fractional positions:
Zr1 0.1509 0.3421 0.0000  2 Cu 2.87, 2 Zn 2.93, 3 Zr 3.02-3.11
Zr2 0.1509 0.6579 0.5000  2 Cu 2.87, 2 Zn 2.93, 3 Zr 3.02-3.11
Zr3 0.3421 0.1509 0.5000  2 Cu 2.87, 2 Zn 2.93, 3 Zr 3.02-3.11
Zr4 0.3421 0.8491 0.0000  2 Cu 2.87, 2 Zn 2.93, 3 Zr 3.02-3.11
Zr5 0.6579 0.1509 0.0000  2 Cu 2.87, 2 Zn 2.93, 3 Zr 3.02-3.11
Zr6 0.6579 0.8491 0.5000  2 Cu 2.87, 2 Zn 2.93, 3 Zr 3.02-3.11
Zr7 0.8491 0.3421 0.5000  2 Cu 2.87, 2 Zn 2.93, 3 Zr 3.02-3.11
Zr8 0.8491 0.6579 0.0000  2 Cu 2.87, 2 Zn 2.93, 3 Zr 3.02-3.11
Zn1 0.5000 0.5000 0.2500  2 Zn 2.48
Zn2 0.5000 0.5000 0.7500  2 Zn 2.48
Cu1 0.0000 0.0000 0.2500  2 Cu 2.48
Cu2 0.0000 0.0000 0.7500  2 Cu 2.48

=====

(9)
This record from Alexandria describes TbSmHo3Th after structural relaxation. The functional is GGA-PBE.

Values from the calculation:
Raw total energy, eV/atom: -5.0618
Magnetization, μB per cell: 0.0
Energy of formation, meV per atom: 22

Cell lengths 10.6462, 3.5665, 10.6629 Å; angles 90.00, 109.19, 90.00 degrees
With the nearest neighbours (Å) after each atom.
Fractional positions:
Tb1 0.1268 0.2500 0.1293  3 Ho 3.52-3.53, 2 Th 3.55, 3 Sm 3.56-3.59, 4 Tb 3.57-3.63
Tb2 0.8732 0.7500 0.8707  3 Ho 3.52-3.53, 2 Th 3.55, 3 Sm 3.56-3.59, 4 Tb 3.57-3.63
Sm1 0.2088 0.7500 0.8744  7 Ho 3.55-3.60, 3 Tb 3.56-3.59, 2 Sm 3.57
Sm2 0.7912 0.2500 0.1256  7 Ho 3.55-3.60, 3 Tb 3.56-3.59, 2 Sm 3.57
Ho1 0.0429 0.7500 0.3754  2 Tb 3.52, 7 Ho 3.54-3.60, 1 Th 3.56, 2 Sm 3.57
Ho2 0.2937 0.2500 0.6204  3 Th 3.49-3.51, 7 Ho 3.54-3.60, 2 Sm 3.60
Ho3 0.4587 0.2500 0.1289  2 Th 3.51, 1 Tb 3.53, 3 Sm 3.55-3.59, 6 Ho 3.56-3.62
Ho4 0.5413 0.7500 0.8711  2 Th 3.51, 1 Tb 3.53, 3 Sm 3.55-3.59, 6 Ho 3.56-3.62
Ho5 0.7063 0.7500 0.3796  3 Th 3.49-3.51, 7 Ho 3.54-3.60, 2 Sm 3.60
Ho6 0.9571 0.2500 0.6246  2 Tb 3.52, 7 Ho 3.54-3.60, 1 Th 3.56, 2 Sm 3.57
Th1 0.3772 0.7500 0.3757  6 Ho 3.49-3.56, 4 Th 3.53-3.57, 2 Tb 3.55
Th2 0.6228 0.2500 0.6243  6 Ho 3.49-3.56, 4 Th 3.53-3.57, 2 Tb 3.55

=====

(10)
This record from Alexandria describes LuScCrIn after structural relaxation. The functional is GGA-PBE.

Values from the calculation:
Raw total energy, eV/atom: -5.8438
Magnetization, μB per cell: 15.4
Energy of formation, meV per atom: -40

Cell lengths 7.0979, 7.0979, 7.0979 Å; angles 90.00, 90.00, 90.00 degrees
With the nearest neighbours (Å) after each atom.
Fractional positions:
Lu1 0.0000 0.0000 0.0000  4 Cr 3.07, 4 In 3.07
Lu2 0.0000 0.5000 0.5000  4 Cr 3.07, 4 In 3.07
Lu3 0.5000 0.0000 0.5000  4 Cr 3.07, 4 In 3.07
Lu4 0.5000 0.5000 0.0000  4 Cr 3.07, 4 In 3.07
Sc1 0.0000 0.0000 0.5000  4 Cr 3.07, 4 In 3.07
Sc2 0.0000 0.5000 0.0000  4 Cr 3.07, 4 In 3.07
Sc3 0.5000 0.0000 0.0000  4 Cr 3.07, 4 In 3.07
Sc4 0.5000 0.5000 0.5000  4 In 3.07, 4 Cr 3.07
Cr1 0.2500 0.2500 0.2500  4 Sc 3.07, 4 Lu 3.07
Cr2 0.2500 0.7500 0.7500  4 Sc 3.07, 4 Lu 3.07
Cr3 0.7500 0.2500 0.7500  4 Sc 3.07, 4 Lu 3.07
Cr4 0.7500 0.7500 0.2500  4 Sc 3.07, 4 Lu 3.07
In1 0.2500 0.2500 0.7500  4 Sc 3.07, 4 Lu 3.07
In2 0.2500 0.7500 0.2500  4 Sc 3.07, 4 Lu 3.07
In3 0.7500 0.2500 0.2500  4 Sc 3.07, 4 Lu 3.07
In4 0.7500 0.7500 0.7500  4 Lu 3.07, 4 Sc 3.07